PBE TiVCo2N, optimized geometry; electronic total energy = -36.2 eV for the cell shown; N(E_F) = 7.31 states/eV/cell; spin magnetization = 0.00 μB per cell; crystal system = tetragonal
1.0
4.2497 0.0000 0.0000
0.0000 4.2497 0.0000
0.0000 0.0000 3.7204
Ti V Co N
1 1 2 1
Direct
0.0000 0.0000 0.0000 Ti
0.5000 0.5000 0.5000 V
0.0000 0.5000 0.5000 Co
0.5000 0.0000 0.5000 Co
0.5000 0.5000 0.0000 N

=====

PBE BaSnB12, optimized geometry; N(E_F) = 0.30 states/eV/cell; spin magnetization = 0.00 μB per cell; crystal system = cubic; energy of formation from the pure elements = -0.116 eV/atom
1.0
0.0000 4.2425 4.2425
4.2425 0.0000 4.2425
4.2425 4.2425 0.0000
Ba Sn B
1 1 12
Direct
0.0000 0.0000 0.0000 Ba
0.5000 0.5000 0.5000 Sn
0.1020 0.1020 0.3980 B
0.1020 0.3980 0.1020 B
0.1020 0.3980 0.3980 B
0.3980 0.1020 0.1020 B
0.3980 0.1020 0.3980 B
0.3980 0.3980 0.1020 B
0.6020 0.6020 0.8980 B
0.6020 0.8980 0.6020 B
0.6020 0.8980 0.8980 B
0.8980 0.6020 0.6020 B
0.8980 0.6020 0.8980 B
0.8980 0.8980 0.6020 B

=====

PBE ZrTi3Pd, optimized geometry; N(E_F) = 6.97 states/eV/cell; spin magnetization = 0.00 μB per cell; crystal system = cubic; relative energy among the computed polymorphs = 0.00 kJ per mole of atoms; energy of formation from the pure elements = 0.512 eV/atom
1.0
4.7579 0.0000 0.0000
0.0000 4.7579 0.0000
0.0000 0.0000 4.7579
Zr Ti Pd
1 3 1
Direct
0.0000 0.0000 0.0000 Zr
0.0000 0.5000 0.5000 Ti
0.5000 0.0000 0.5000 Ti
0.5000 0.5000 0.0000 Ti
0.5000 0.5000 0.5000 Pd

=====

PBE InNiP2, optimized geometry; N(E_F) = 3.97 states/eV/cell; spin magnetization = 0.00 μB per cell; crystal system = monoclinic; energy of formation from the pure elements = 0.303 eV/atom
1.0
5.1936 0.0000 0.0000
0.0000 7.1783 0.0000
-2.0020 0.0000 3.6526
In Ni P
2 2 4
Direct
0.0000 0.0000 0.0000 In
0.5000 0.5000 0.0000 In
0.0000 0.5000 0.0000 Ni
0.5000 0.0000 0.0000 Ni
0.2500 0.2500 0.5000 P
0.2500 0.7500 0.5000 P
0.7500 0.2500 0.5000 P
0.7500 0.7500 0.5000 P

=====

Question: N(E_F) of number 3 (ZrTi3Pd)?
Answer: 6.97 states/eV/cell